Record 1
The following is a GGA-PBE calculation of crystalline Ti3CdCl at its relaxed geometry, from Alexandria.

Geometry as POSCAR:
```
Ti3CdCl
1.0
4.505 0.000 0.000
0.000 4.505 0.000
0.000 0.000 4.505
Ti Cl Cd
3 1 1
Cartesian
2.252 0.000 0.000 Ti
0.000 0.000 2.252 Ti
0.000 2.252 0.000 Ti
0.000 0.000 0.000 Cl
2.252 2.252 2.252 Cd
```

## Properties
VASP energy: -26.40 eV per formula unit
SG: Pm-3m
E_form (uncorrected): 0.0084 eV per atom
energy above the lowest structure with this stoichiometry: 0.000 eV per atom

=====

Record 2
The following is a GGA-PBE calculation of crystalline BaIrSe4 at its relaxed geometry, from Alexandria.

Geometry as POSCAR:
```
BaIrSe4
1.0
0.000 4.150 4.150
4.150 0.000 4.150
4.150 4.150 0.000
Ir Ba Se
1 1 4
Cartesian
0.000 0.000 0.000 Ir
6.225 6.225 6.225 Ba
3.089 3.089 3.089 Se
5.211 3.089 5.211 Se
5.211 5.211 3.089 Se
3.089 5.211 5.211 Se
```

## Properties
VASP energy: -22.30 eV per formula unit
SG: F-43m
E_form (uncorrected): 0.4041 eV per atom

=====

Record 3
The following is a GGA-PBE calculation of crystalline RbSn2Hg2Pb at its relaxed geometry, from Alexandria.

Geometry as POSCAR:
```
RbSn2Hg2Pb
1.0
5.000 0.000 0.000
-2.500 4.330 0.000
0.000 0.000 9.358
Hg Sn Pb Rb
2 2 1 1
Cartesian
0.000 2.887 6.714 Hg
2.500 1.443 2.644 Hg
2.500 1.443 6.649 Sn
0.000 2.887 2.708 Sn
0.000 0.000 4.679 Pb
0.000 0.000 0.000 Rb
```

## Properties
VASP energy: -13.68 eV per formula unit
SG: P-3m1
ΔE_f: -0.39 eV per formula unit

=====

Record 4
The following is a GGA-PBE calculation of crystalline La2SmTc at its relaxed geometry, from Alexandria.

Geometry as POSCAR:
```
La2SmTc
1.0
6.618 0.000 0.000
0.000 7.425 0.000
0.000 0.000 9.820
La Tc Sm
8 4 4
Cartesian
2.210 1.297 0.673 La
5.519 2.416 5.582 La
4.408 6.129 9.147 La
5.519 2.416 9.147 La
4.408 6.129 5.582 La
1.099 5.009 0.673 La
1.099 5.009 4.237 La
2.210 1.297 4.237 La
6.289 4.337 7.365 Tc
3.638 0.624 7.365 Tc
0.329 3.089 2.455 Tc
2.980 6.802 2.455 Tc
5.684 0.436 2.455 Sm
2.375 3.276 7.365 Sm
4.243 4.149 2.455 Sm
0.934 6.989 7.365 Sm
```

## Properties
VASP energy: -25.03 eV per formula unit
SG: Pnma
energy above the lowest structure with this stoichiometry: 0.000 eV per atom
ΔE_f: -0.09 eV per formula unit

=====

Record 5
The following is a GGA-PBE calculation of crystalline Zn2OsRh at its relaxed geometry, from Alexandria.

Geometry as POSCAR:
```
Zn2OsRh
1.0
-0.726 -8.577 0.553
1.361 -8.189 2.342
-1.267 -7.912 3.193
Os Rh Zn
1 1 2
Cartesian
-0.158 -6.170 1.522 Os
-0.474 -18.509 4.566 Rh
-0.315 -12.304 3.035 Zn
-0.001 -0.035 0.009 Zn
```

## Properties
VASP energy: -21.17 eV per formula unit
SG: R-3m
energy above the lowest structure with this stoichiometry: 0.000 eV per atom
ΔE_f: -0.04 eV per formula unit

=====

Record 6
The following is a GGA-PBE calculation of crystalline BaSi2Hg at its relaxed geometry, from Alexandria.

Geometry as POSCAR:
```
BaSi2Hg
1.0
4.416 0.000 0.000
0.000 3.470 -0.007
0.000 0.014 6.772
Si Ba Hg
2 1 1
Cartesian
0.000 2.615 6.446 Si
0.000 2.611 3.701 Si
2.208 0.871 1.691 Ba
2.208 2.613 5.074 Hg
```

## Properties
VASP energy: -12.69 eV per formula unit
SG: Pmmm
E_form (uncorrected): 0.0960 eV per atom

=====

Record 7
The following is a GGA-PBE calculation of crystalline CdSn3Pb at its relaxed geometry, from Alexandria.

Geometry as POSCAR:
```
CdSn3Pb
1.0
-2.400 3.255 -3.782
-2.662 -4.384 -2.084
-4.220 0.915 3.465
Pb Cd Sn
1 1 3
Cartesian
-4.641 -0.107 -1.200 Pb
0.000 0.000 0.000 Cd
-2.110 0.457 1.733 Sn
-1.200 1.627 -1.891 Sn
-1.331 -2.192 -1.042 Sn
```

## Properties
VASP energy: -14.26 eV per formula unit
SG: Pm-3m
energy above the lowest structure with this stoichiometry: 0.416 eV per atom
ΔE_f: 2.37 eV per formula unit

=====

Record 8
The following is a GGA-PBE calculation of crystalline La2MgGa4Pd3 at its relaxed geometry, from Alexandria.

Geometry as POSCAR:
```
La2MgGa4Pd3
1.0
-3.264 2.672 0.875
-2.811 -3.121 -0.956
0.106 -3.338 10.586
La Pd Mg Ga
2 3 1 4
Cartesian
-1.607 0.553 2.921 La
-1.324 -4.116 7.625 La
-1.392 -1.986 0.871 Pd
-1.539 -1.577 9.674 Pd
0.053 -1.669 5.293 Pd
-2.984 -1.894 5.253 Mg
-1.563 -0.818 7.269 Ga
0.000 0.000 0.000 Ga
-1.368 -2.744 3.276 Ga
-3.038 -0.225 -0.040 Ga
```

## Properties
VASP energy: -46.49 eV per formula unit
SG: P-4m2
ΔE_f: -7.36 eV per formula unit